{
  "formula": "MgSnN2",
  "functional": "PBE",
  "state": "optimized geometry",
  "lattice_angstrom": [[0.000, 2.855, 2.855], [2.855, 0.000, 2.855], [2.855, 2.855, 0.000]],
  "species": ["Mg", "Sn", "N", "N"],
  "frac_coords": [[0.000, 0.000, 0.000], [0.500, 0.500, 0.500], [0.250, 0.250, 0.250], [0.750, 0.750, 0.750]],
  "magmom_total_mub_per_fu": 0.00,
  "raw_formation_energy_ev_per_atom": 0.7345,
  "dos_ef_per_ev_atom": 0.42,
  "dft_energy_ev_per_atom": -4.828,
  "crystal_system": "cubic"
}



{
  "formula": "Mg7SnN6",
  "functional": "PBE",
  "state": "optimized geometry",
  "lattice_angstrom": [[-2.808, 5.327, 6.100], [2.808, -5.327, 6.100], [2.808, 5.327, -6.100]],
  "species": ["Mg", "Mg", "Mg", "Mg", "Mg", "Mg", "Mg", "Mg", "Mg", "Mg", "Mg", "Mg", "Mg", "Mg", "Sn", "Sn", "N", "N", "N", "N", "N", "N", "N", "N", "N", "N", "N", "N"],
  "frac_coords": [[0.029, 0.243, 0.272], [0.138, 0.408, 0.767], [0.142, 0.908, 0.270], [0.250, 0.250, 0.000], [0.358, 0.629, 0.767], [0.362, 0.129, 0.270], [0.471, 0.743, 0.213], [0.529, 0.257, 0.787], [0.638, 0.871, 0.730], [0.642, 0.371, 0.233], [0.750, 0.750, 0.000], [0.858, 0.092, 0.730], [0.862, 0.592, 0.233], [0.971, 0.757, 0.728], [0.250, 0.750, 0.500], [0.750, 0.250, 0.500], [0.051, 0.901, 0.629], [0.162, 0.775, 0.937], [0.229, 0.599, 0.150], [0.271, 0.422, 0.371], [0.338, 0.275, 0.614], [0.449, 0.078, 0.850], [0.551, 0.922, 0.150], [0.662, 0.725, 0.386], [0.729, 0.578, 0.629], [0.771, 0.401, 0.850], [0.838, 0.225, 0.063], [0.949, 0.099, 0.371]],
  "magmom_total_mub_per_fu": 0.00,
  "raw_formation_energy_ev_per_atom": -0.4994,
  "dft_energy_ev_per_atom": -5.151,
  "crystal_system": "orthorhombic"
}